(1)
Density functional theory data (GGA-PBE) for a relaxed Pa4Si3 crystal.

## Properties
Formation energy (no corrections), eV per atom: -0.170
SG: R-3m
VASP energy, eV/atom: -7.9201

Cell: 4.124 4.124 11.415 Å, 79.59 79.59 60.00°
Fractional positions:
Pa: 0.691 0.691 0.926
Si: 0.596 0.596 0.213
Si: 0.404 0.404 0.787
Pa: 0.119 0.119 0.644
Pa: 0.881 0.881 0.356
Si: 0.500 0.500 0.500
Pa: 0.309 0.309 0.074

---

(2)
Density functional theory data (GGA-PBE) for a relaxed PaSi3 crystal.

## Properties
Formation energy (no corrections), eV per atom: -0.419
SG: Pm-3m
Excess energy over the best structure of this formula in the dataset, meV per atom: 0
VASP energy, eV/atom: -6.8602

Cell: 4.112 4.112 4.112 Å, 90.00 90.00 90.00°
Fractional positions:
Si: 0.500 0.500 0.917
Si: 0.500 0.000 0.417
Si: 0.000 0.000 0.917
Pa: 0.000 0.500 0.416

---

(3)
Density functional theory data (GGA-PBE) for a relaxed PaSi2 crystal.

## Properties
Formation energy (no corrections), eV per atom: -0.406
SG: Pnma
Excess energy over the best structure of this formula in the dataset, meV per atom: 128
VASP energy, eV/atom: -7.1867

Cell: 3.821 6.000 10.376 Å, 90.00 90.00 90.00°
Fractional positions:
Pa: 0.750 0.285 0.396
Si: 0.250 0.200 0.607
Si: 0.250 0.700 0.893
Pa: 0.250 0.715 0.604
Si: 0.750 0.800 0.393
Si: 0.250 0.609 0.297
Si: 0.750 0.891 0.797
Si: 0.250 0.109 0.203
Si: 0.750 0.300 0.107
Pa: 0.750 0.785 0.104
Si: 0.750 0.391 0.703
Pa: 0.250 0.215 0.896

---

(4)
Density functional theory data (GGA-PBE) for a relaxed PaSi3 crystal.

## Properties
Formation energy (no corrections), eV per atom: -0.222
SG: I4/mmm
Excess energy over the best structure of this formula in the dataset, meV per atom: 197
VASP energy, eV/atom: -6.6629

Cell: 3.992 3.992 5.310 Å, 112.08 112.08 90.00°
Fractional positions:
Si: 0.250 0.750 0.500
Si: 0.750 0.250 0.500
Pa: 0.000 0.000 0.000
Si: 0.500 0.500 0.000

---

Q: What is the formula in the fourth record?
A: PaSi3

---

Q: What is the formation energy (no corrections) in the second record?
A: -0.419 eV per atom